(1)
# TiI2O8

A relaxed TiI2O8 crystal (PBE, Alexandria).

Cell: 9.008 8.685 4.732 Å, 90.00 104.36 90.00°
Space group C2/m (No. 12)
Unique sites:
Ti (0.000, 0.000, 0.000) (multiplicity 2)
I (0.237, 0.500, 0.253) (multiplicity 4)
O (0.015, 0.500, 0.364) (multiplicity 4)
O (0.118, 0.148, 0.828) (multiplicity 8)
O (0.183, 0.000, 0.351) (multiplicity 4)



(2)
# TiI2O8

A relaxed TiI2O8 crystal (PBE, Alexandria).

Cell: 9.098 6.379 5.461 Å, 90.00 93.90 90.00°
Space group C2/m (No. 12)
Unique sites:
Ti (0.000, 0.000, 0.000) (multiplicity 2)
I (0.120, 0.500, 0.736) (multiplicity 4)
O (0.097, 0.202, 0.798) (multiplicity 8)
O (0.121, 0.500, 0.396) (multiplicity 4)
O (0.176, 0.000, 0.240) (multiplicity 4)



(3)
# TiIO2

A relaxed TiIO2 crystal (PBE, Alexandria).

Cell: 8.506 8.506 8.506 Å, 90.00 90.00 90.00°
Space group Fd-3m (No. 227, origin choice 2)
Unique sites:
Ti (0.125, 0.125, 0.125) (multiplicity 8)
I (0.125, 0.125, 0.625) (multiplicity 8)
O (0.000, 0.000, 0.000) (multiplicity 16)



| no. | raw formation energy (eV/atom) |
| --- | --- |
| 1 | -0.71 |
| 2 | -0.76 |
| 3 | -2.00 |